No. 1
This record from the Alexandria database describes a crystal of LaErAl4 relaxed with PBEsol. The functional is meta-GGA SCAN.

```
6
Lattice="5.5963 0.0000 0.0000 2.7981 4.8465 0.0000 2.7981 1.6155 4.5693" Properties=species:S:1:pos:R:3 pbc="T T T"
La 0.0000 0.0000 0.0000
Er 8.3944 4.8465 3.4270
Al 5.5963 4.8457 1.7138
Al 4.1979 2.4237 1.7138
Al 5.5963 3.2310 3.9973
Al 6.9946 2.4237 1.7138
```

Summary:
- symmetry = F-43m (216)
- ΔH_f (0 K) (meV/atom) = -500

No. 2
This record from the Alexandria database describes a crystal of Co3TeH relaxed with PBEsol. The functional is meta-GGA SCAN.

```
5
Lattice="-3.4213 -1.2573 -0.5920 1.3889 -3.0419 -1.5666 0.0458 -1.6741 3.2912" Properties=species:S:1:pos:R:3 pbc="T T T"
Co 0.0229 -0.8370 1.6456
H 0.0000 0.0000 0.0000
Te -0.9933 -2.9866 0.5663
Co 0.6945 -1.5209 -0.7833
Co -1.7107 -0.6286 -0.2960
```

Summary:
- symmetry = Pm-3m (221)
- energy above the most stable polymorph in this dataset (eV per formula unit) = 0.00

No. 3
This record from the Alexandria database describes a crystal of KSi2Au2 relaxed with PBEsol. The functional is meta-GGA SCAN.

```
5
Lattice="-1.1145 3.9723 1.6389 -3.8857 -0.2087 -2.1366 0.4439 -4.0904 4.2039" Properties=species:S:1:pos:R:3 pbc="T T T"
K 0.0000 0.0000 0.0000
Au -2.9709 -1.2086 0.9092
Au -1.5853 0.8818 2.7970
Si -3.0064 1.3379 0.7251
Si -1.5498 -1.6647 2.9811
```

Summary:
- symmetry = I4/mmm (139)
- ΔE_f (raw) (eV per formula unit) = -1.1

No. 4
This record from the Alexandria database describes a crystal of ZrCuW2 relaxed with PBEsol. The functional is meta-GGA SCAN.

```
4
Lattice="3.2351 0.0000 0.0000 0.0000 3.2351 0.0000 0.0000 0.0000 6.1343" Properties=species:S:1:pos:R:3 pbc="T T T"
Cu 1.6175 1.6175 4.7045
W 0.0000 0.0000 6.1304
Zr 0.0000 0.0000 3.1128
W 1.6175 1.6175 1.3879
```

Summary:
- symmetry = P4mm (99)
- energy above the most stable polymorph in this dataset (eV per formula unit) = 0.00
- ΔH_f (0 K) (meV/atom) = 121

No. 5
This record from the Alexandria database describes a crystal of SrH3Br relaxed with PBEsol. The functional is meta-GGA SCAN.

```
5
Lattice="4.3693 0.0000 0.0000 0.0000 4.3693 0.0000 0.0000 0.0000 4.3693" Properties=species:S:1:pos:R:3 pbc="T T T"
Sr 0.0000 0.0000 0.0000
Br 2.1846 2.1846 2.1846
H 2.1846 0.0000 0.0000
H 0.0000 0.0000 2.1846
H 0.0000 2.1846 0.0000
```

Summary:
- symmetry = Pm-3m (221)

No. 6
This record from the Alexandria database describes a crystal of LaScPb2 relaxed with PBEsol. The functional is meta-GGA SCAN.

```
4
Lattice="-2.7241 0.0675 3.6095 3.4816 -1.1464 2.6491 0.7558 5.7393 -2.3702" Properties=species:S:1:pos:R:3 pbc="T T T"
Sc 0.3788 -0.5395 3.1293
Pb 0.0000 0.0000 0.0000
La -0.7947 2.6336 2.1843
Pb 2.3081 2.0267 1.7041
```

Summary:
- symmetry = I-4m2 (119)
- ΔH_f (0 K) (meV/atom) = -629

No. 7
This record from the Alexandria database describes a crystal of As3PtCl relaxed with PBEsol. The functional is meta-GGA SCAN.

```
5
Lattice="4.8913 0.0000 0.0000 0.0000 4.8913 0.0000 0.0000 0.0000 4.8913" Properties=species:S:1:pos:R:3 pbc="T T T"
Cl 2.4456 2.4456 2.4456
As 2.4456 0.0000 0.0000
Pt 0.0000 0.0000 0.0000
As 0.0000 2.4456 0.0000
As 0.0000 0.0000 2.4456
```

Summary:
- symmetry = Pm-3m (221)
- ΔE_f (raw) (eV per formula unit) = 2.9

No. 8
This record from the Alexandria database describes a crystal of CrIrPt2 relaxed with PBEsol. The functional is meta-GGA SCAN.

```
4
Lattice="-3.5440 0.0992 -1.4243 1.2812 -1.4611 -3.2897 0.5008 -2.8511 3.6801" Properties=species:S:1:pos:R:3 pbc="T T T"
Cr -1.1314 -0.6809 -2.3570
Pt -2.0873 -1.7164 -0.0506
Pt 0.0000 0.0000 0.0000
Ir 0.3253 -2.4965 -0.9833
```

Summary:
- symmetry = I-4m2 (119)
- ΔH_f (0 K) (meV/atom) = -274

No. 9
This record from the Alexandria database describes a crystal of CsTl2ZnGa relaxed with PBEsol. The functional is meta-GGA SCAN.

```
5
Lattice="-0.3555 -3.3728 4.2186 1.9357 -4.0265 -3.0561 6.4250 1.6665 1.8738" Properties=species:S:1:pos:R:3 pbc="T T T"
Tl 0.9678 -2.0133 -1.5280
Ga 0.0000 0.0000 0.0000
Cs 3.2125 0.8333 0.9369
Tl -0.1778 -1.6864 2.1093
Zn 4.0026 -2.8664 1.5182
```

Summary:
- symmetry = P4/mmm (123)
- ΔH_f (0 K) (meV/atom) = 303

No. 10
This record from the Alexandria database describes a crystal of TaMnSbTe2 relaxed with PBEsol. The functional is meta-GGA SCAN.

```
5
Lattice="4.8776 0.0000 0.0000 0.0000 4.9982 0.0000 0.0000 0.0000 4.9982" Properties=species:S:1:pos:R:3 pbc="T T T"
Mn 0.0000 0.0000 0.0000
Te 0.0000 2.4991 0.0000
Sb 2.4388 0.0000 0.0000
Te 0.0000 0.0000 2.4991
Ta 2.4388 2.4991 2.4991
```

Summary:
- symmetry = P4/mmm (123)
- ΔE_f (raw) (eV per formula unit) = 4.7

No. 11
This record from the Alexandria database describes a crystal of MgZrCd2 relaxed with PBEsol. The functional is meta-GGA SCAN.

```
4
Lattice="-1.1766 2.6755 0.3393 -0.1033 -0.5930 4.3178 5.8625 2.5165 0.4859" Properties=species:S:1:pos:R:3 pbc="T T T"
Zr 2.2913 2.2995 2.5715
Cd 4.4098 1.8929 0.3655
Cd 1.4527 0.6236 0.1204
Mg -0.6400 1.0412 2.3285
```

Summary:
- symmetry = Pmmm (47)
- ΔH_f (0 K) (meV/atom) = -162

No. 12
This record from the Alexandria database describes a crystal of In2IrOs relaxed with PBEsol. The functional is meta-GGA SCAN.

```
4
Lattice="-0.8591 1.4411 -2.3375 -3.1379 -3.1930 -0.8153 -1.5806 3.6248 4.5863" Properties=species:S:1:pos:R:3 pbc="T T T"
In -5.3596 1.7055 1.2503
Ir -2.2000 -0.7212 -1.4069
In -2.4090 2.2408 0.4959
Os -3.1850 -0.3553 0.9515
```

Summary:
- symmetry = Imm2 (44)
- ΔH_f (0 K) (meV/atom) = 290

No. 13
This record from the Alexandria database describes a crystal of ReAs2Cl relaxed with PBEsol. The functional is meta-GGA SCAN.

```
4
Lattice="3.0692 0.0000 0.0000 1.5346 2.6580 0.0000 1.5346 0.8860 8.7121" Properties=species:S:1:pos:R:3 pbc="T T T"
As 4.6038 2.6580 6.8170
Re 1.5346 0.8860 2.0387
Cl 3.0692 1.7720 3.8952
As 4.6038 2.6580 0.3173
```

Summary:
- symmetry = R3m (160)
- energy above the most stable polymorph in this dataset (eV per formula unit) = 1.18
- ΔE_f (raw) (eV per formula unit) = 1.3

No. 14
This record from the Alexandria database describes a crystal of Ba3SiBr relaxed with PBEsol. The functional is meta-GGA SCAN.

```
5
Lattice="5.9816 0.0000 0.0000 0.0000 5.9816 0.0000 0.0000 0.0000 5.9816" Properties=species:S:1:pos:R:3 pbc="T T T"
Ba 2.9908 0.0000 0.0000
Ba 0.0000 0.0000 2.9908
Si 2.9908 2.9908 2.9908
Ba 0.0000 2.9908 0.0000
Br 0.0000 0.0000 0.0000
```

Summary:
- symmetry = Pm-3m (221)
- ΔE_f (raw) (eV per formula unit) = -2.0

No. 15
This record from the Alexandria database describes a crystal of LiAgS2Cl relaxed with PBEsol. The functional is meta-GGA SCAN.

```
5
Lattice="-3.2658 0.0331 -2.4660 2.4312 -0.6436 -3.2284 -0.5959 -5.8175 0.7110" Properties=species:S:1:pos:R:3 pbc="T T T"
Ag -0.7153 -3.2140 -2.4916
Li 0.0000 0.0000 0.0000
S -1.6329 0.0166 -1.2330
S 1.2156 -0.3218 -1.6142
Cl -0.2980 -2.9087 0.3555
```

Summary:
- symmetry = P4/mmm (123)
- ΔE_f (raw) (eV per formula unit) = 0.7

No. 16
This record from the Alexandria database describes a crystal of SrCoPt3 relaxed with PBEsol. The functional is meta-GGA SCAN.

```
5
Lattice="4.6258 0.0000 0.0000 0.0000 4.6258 0.0000 0.0000 0.0000 4.6258" Properties=species:S:1:pos:R:3 pbc="T T T"
Co 0.0000 0.0000 0.0000
Pt 2.3129 0.0000 0.0000
Pt 0.0000 2.3129 0.0000
Sr 2.3129 2.3129 2.3129
Pt 0.0000 0.0000 2.3129
```

Summary:
- symmetry = Pm-3m (221)
- ΔH_f (0 K) (meV/atom) = -36

No. 17
This record from the Alexandria database describes a crystal of Li3Ni relaxed with PBEsol. The functional is meta-GGA SCAN.

```
4
Lattice="-2.5622 0.1876 0.5196 1.5194 -1.5697 1.4482 1.6690 6.9076 5.7362" Properties=species:S:1:pos:R:3 pbc="T T T"
Li 0.4690 1.9412 1.6120
Ni 0.9934 2.4699 4.0068
Li 1.2000 4.9665 4.1242
Li 0.1589 -0.9840 1.1387
```

Summary:
- symmetry = P-6m2 (187)
- ΔH_f (0 K) (meV/atom) = 101

No. 18
This record from the Alexandria database describes a crystal of InRu3S relaxed with PBEsol. The functional is meta-GGA SCAN.

```
5
Lattice="4.2956 0.0000 0.0000 0.0000 4.2956 0.0000 0.0000 0.0000 4.2956" Properties=species:S:1:pos:R:3 pbc="T T T"
Ru 2.1478 0.0000 0.0000
Ru 0.0000 2.1478 0.0000
Ru 0.0000 0.0000 2.1478
In 2.1478 2.1478 2.1478
S 0.0000 0.0000 0.0000
```

Summary:
- symmetry = Pm-3m (221)
- ΔE_f (raw) (eV per formula unit) = 1.5

No. 19
This record from the Alexandria database describes a crystal of Na3OsBr relaxed with PBEsol. The functional is meta-GGA SCAN.

```
5
Lattice="5.2878 0.0000 0.0000 0.0000 5.2878 0.0000 0.0000 0.0000 5.2878" Properties=species:S:1:pos:R:3 pbc="T T T"
Na 2.6439 0.0000 0.0000
Os 2.6439 2.6439 2.6439
Na 0.0000 2.6439 0.0000
Br 0.0000 0.0000 0.0000
Na 0.0000 0.0000 2.6439
```

Summary:
- symmetry = Pm-3m (221)
- ΔE_f (raw) (eV per formula unit) = 3.0

No. 20
This record from the Alexandria database describes a crystal of CoNi3I relaxed with PBEsol. The functional is meta-GGA SCAN.

```
5
Lattice="-1.4220 0.6790 -3.9974 3.4377 -2.0444 -1.5701 -2.1501 -3.7178 0.1333" Properties=species:S:1:pos:R:3 pbc="T T T"
Co 0.0000 0.0000 0.0000
Ni -0.7110 0.3395 -1.9987
Ni -1.0751 -1.8589 0.0666
I -0.0672 -2.5416 -2.7171
Ni 1.7188 -1.0222 -0.7851
```

Summary:
- symmetry = Pm-3m (221)
- ΔE_f (raw) (eV per formula unit) = 5.3

no.,final energy (Ry/atom),magnetization (μB/atom)
1,-1.5613,0.00
2,-1.3459,0.53
3,-2.4656,0.00
4,-3.3955,0.00
5,-0.7470,0.40
6,-3.8848,0.00
7,-1.9967,0.42
8,-4.2439,0.45
9,-3.0998,0.00
10,-2.8210,1.15
11,-1.7851,0.00
12,-3.8328,0.00
13,-2.1710,0.00
14,-2.2069,0.00
15,-0.8858,0.00
16,-3.6799,0.64
17,-0.4215,0.06
18,-2.1468,0.00
19,-1.4838,0.65
20,-1.4299,0.78